Material: KVCrO4
Method: DFT, GGA+U
State: optimized geometry

a = 5.530 Å, b = 5.868 Å, c = 7.236 Å
α = 90.00°, β = 106.36°, γ = 90.00°
Sites, in units of the cell vectors:
1 K 0.215 0.250 0.437
2 K 0.785 0.750 0.563
3 V 0.243 0.750 0.154
4 V 0.757 0.250 0.846
5 Cr 0.282 0.250 0.957
6 Cr 0.718 0.750 0.043
7 O 0.023 0.750 0.929
8 O 0.036 0.750 0.299
9 O 0.449 0.518 0.185
10 O 0.449 0.982 0.185
11 O 0.551 0.018 0.815
12 O 0.551 0.482 0.815
13 O 0.964 0.250 0.701
14 O 0.977 0.250 0.071

- Theoretical density: 3.04 Mg/m³
- Magnetic moment: 0.571 μB/atom
- Uncorrected energy: -0.2541 Ha/atom